# GGA-PBEsol WSI2Br, relaxed
data_WSI2Br
_chemical_formula_sum 'W1 S1 I2 Br1'
_cell_length_a 5.424
_cell_length_b 5.424
_cell_length_c 4.519
_cell_angle_alpha 90.00
_cell_angle_beta 90.00
_cell_angle_gamma 90.00
_space_group_name_H-M_alt 'P 1'
_space_group_IT_number 1
_space_group_name_Hall 'P 1'
loop_
_atom_site_label
_atom_site_type_symbol
_atom_site_fract_x
_atom_site_fract_y
_atom_site_fract_z
W1 W 0.000 0.000 0.000
S1 S 0.000 0.000 0.500
I1 I 0.000 0.500 0.000
I2 I 0.500 0.000 0.000
Br1 Br 0.500 0.500 0.500
# VASP energy = -4.5197 eV/atom
# Fermi-level density of states = 0.831 states/eV per atom
# SG = P4/mmm
# crystal system = tetragonal
# theoretical density = 6.86 g cm⁻³
# raw formation energy = 199 meV per atom

# GGA-PBEsol SrSb2IBr, relaxed
data_SrSb2IBr
_chemical_formula_sum 'Sr1 Sb2 I1 Br1'
_cell_length_a 5.286
_cell_length_b 5.286
_cell_length_c 6.838
_cell_angle_alpha 90.00
_cell_angle_beta 90.00
_cell_angle_gamma 90.00
_space_group_name_H-M_alt 'P 1'
_space_group_IT_number 1
_space_group_name_Hall 'P 1'
loop_
_atom_site_label
_atom_site_type_symbol
_atom_site_fract_x
_atom_site_fract_y
_atom_site_fract_z
Sr1 Sr 0.000 0.000 0.000
Sb1 Sb 0.000 0.500 0.500
Sb2 Sb 0.500 0.000 0.500
I1 I 0.500 0.500 0.000
Br1 Br 0.500 0.500 0.500
# VASP energy = -2.9270 eV/atom
# Fermi-level density of states = 1.167 states/eV per atom
# SG = P4/mmm
# crystal system = tetragonal
# theoretical density = 4.68 g cm⁻³
# raw formation energy = -9 meV per atom